(1)
First-principles (GGA-PBE) data for crystalline PrAgTe at its relaxed geometry, as listed in the Alexandria database.

## Properties
The energy comes out at -4.41 eV/atom.

abc: 5.950 4.316 9.409
angles: 97.27 90.00 133.57
Fractional positions:
Te: 0.709 0.418 0.866
Te: 0.291 0.582 0.134
Ag: 0.725 0.450 0.547
Ag: 0.275 0.550 0.453
Pr: 0.181 0.363 0.760
Pr: 0.819 0.637 0.240

=====

(2)
First-principles (GGA-PBE) data for crystalline NdHg2Pd at its relaxed geometry, as listed in the Alexandria database.

## Properties
The value obtained for the formation energy is -0.446 eV/atom. The energy comes out at -3.09 eV/atom.

abc: 5.046 5.046 5.046
angles: 60.00 60.00 60.00
Fractional positions:
Hg: 0.750 0.750 0.750
Hg: 0.250 0.250 0.250
Pd: 0.500 0.500 0.500
Nd: 0.000 0.000 0.000

=====

(3)
First-principles (GGA-PBE) data for crystalline Er7InS5 at its relaxed geometry, as listed in the Alexandria database.

## Properties
The energy comes out at -5.86 eV/atom.

abc: 3.877 6.750 23.248
angles: 89.99 90.00 106.74
Fractional positions:
Er: 0.637 0.274 0.035
Er: 0.094 0.188 0.889
Er: 0.175 0.351 0.172
Er: 0.637 0.274 0.465
Er: 0.363 0.727 0.965
Er: 0.825 0.650 0.828
Er: 0.825 0.650 0.672
Er: 0.906 0.813 0.389
Er: 0.094 0.188 0.611
Er: 0.488 0.976 0.250
Er: 0.512 0.025 0.750
Er: 0.175 0.351 0.328
Er: 0.906 0.813 0.111
Er: 0.363 0.727 0.535
S: 0.727 0.454 0.930
S: 0.000 0.001 0.000
S: 0.274 0.547 0.430
S: 0.000 0.001 0.500
S: 0.544 0.089 0.362
S: 0.456 0.913 0.862
S: 0.273 0.547 0.070
S: 0.544 0.088 0.138
S: 0.727 0.454 0.570
S: 0.456 0.913 0.638
In: 0.804 0.607 0.250
In: 0.197 0.394 0.750

=====

Please write out number 2 again, unchanged.
First-principles (GGA-PBE) data for crystalline NdHg2Pd at its relaxed geometry, as listed in the Alexandria database.

## Properties
The value obtained for the formation energy is -0.446 eV/atom. The energy comes out at -3.09 eV/atom.

abc: 5.046 5.046 5.046
angles: 60.00 60.00 60.00
Fractional positions:
Hg: 0.750 0.750 0.750
Hg: 0.250 0.250 0.250
Pd: 0.500 0.500 0.500
Nd: 0.000 0.000 0.000